*A*
First-principles (PBE) data for a relaxed Ca2FeCl crystal, as listed in the Alexandria database.

Cell lengths 7.1143, 7.1143, 7.1143 Å; angles 146.68, 146.68, 47.84 degrees
Atoms (fractional coordinates):
Ca (0.0000, 0.0000, 0.0000)
Ca (0.7500, 0.2500, 0.5000)
Fe (0.5000, 0.5000, 0.0000)
Cl (0.2500, 0.7500, 0.5000)

M_tot = 2.37 μB per cell


*B*
First-principles (PBE) data for a relaxed Ca2FeCl crystal, as listed in the Alexandria database.

Cell lengths 3.4198, 3.4198, 7.9855 Å; angles 90.00, 90.00, 90.00 degrees
Atoms (fractional coordinates):
Ca (0.0000, 0.0000, 0.2321)
Ca (0.0000, 0.0000, 0.7679)
Fe (0.5000, 0.5000, 0.0000)
Cl (0.5000, 0.5000, 0.5000)

M_tot = 1.90 μB per cell


Most stable: *B*


*A*
First-principles (PBE) data for a relaxed NaSr3Ir crystal, as listed in the Alexandria database.

Cell lengths 10.4827, 6.7607, 11.1058 Å; angles 90.00, 95.97, 90.00 degrees
Atoms (fractional coordinates):
Na (0.0525, 0.0015, 0.1938)
Na (0.0525, 0.4985, 0.6938)
Na (0.9475, 0.5015, 0.3062)
Na (0.9475, 0.9985, 0.8062)
Sr (0.2351, 0.9997, 0.5494)
Sr (0.2351, 0.5003, 0.0494)
Sr (0.2978, 0.0002, 0.9166)
Sr (0.2978, 0.4998, 0.4166)
Sr (0.4140, 0.9999, 0.2433)
Sr (0.4140, 0.5001, 0.7433)
Sr (0.5860, 0.0001, 0.7567)
Sr (0.5860, 0.4999, 0.2567)
Sr (0.7022, 0.9998, 0.0834)
Sr (0.7022, 0.5002, 0.5834)
Sr (0.7649, 0.0003, 0.4506)
Sr (0.7649, 0.4997, 0.9506)
Ir (0.5001, 0.1903, 0.5000)
Ir (0.5001, 0.3097, 0.0000)
Ir (0.4999, 0.6903, 0.0000)
Ir (0.4999, 0.8097, 0.5000)

M_tot = 0.00 μB per cell


*B*
First-principles (PBE) data for a relaxed NaSr3Ir crystal, as listed in the Alexandria database.

Cell lengths 10.1622, 10.1622, 7.5436 Å; angles 94.73, 94.73, 90.80 degrees
Atoms (fractional coordinates):
Na (0.0682, 0.7361, 0.8783)
Na (0.2639, 0.9318, 0.6217)
Na (0.7361, 0.0682, 0.3783)
Na (0.9318, 0.2639, 0.1217)
Sr (0.0282, 0.2134, 0.6533)
Sr (0.2134, 0.0282, 0.1533)
Sr (0.2449, 0.5373, 0.4952)
Sr (0.2605, 0.4732, 0.0153)
Sr (0.4627, 0.7551, 0.0048)
Sr (0.4732, 0.2605, 0.5153)
Sr (0.5268, 0.7395, 0.4847)
Sr (0.5373, 0.2449, 0.9952)
Sr (0.7395, 0.5268, 0.9847)
Sr (0.7551, 0.4627, 0.5048)
Sr (0.7866, 0.9718, 0.8467)
Sr (0.9718, 0.7866, 0.3467)
Ir (0.2454, 0.7546, 0.2500)
Ir (0.4882, 0.5118, 0.7500)
Ir (0.5118, 0.4882, 0.2500)
Ir (0.7546, 0.2454, 0.7500)

M_tot = 0.00 μB per cell


Most stable: *A*


*A*
First-principles (PBE) data for a relaxed Mg2BePb crystal, as listed in the Alexandria database.

Cell lengths 5.1280, 5.1280, 3.3598 Å; angles 90.00, 90.00, 108.29 degrees
Atoms (fractional coordinates):
Mg (0.0000, 0.5000, 0.0000)
Mg (0.5000, 0.0000, 0.0000)
Be (0.0000, 0.0000, 0.5000)
Pb (0.5000, 0.5000, 0.5000)

M_tot = 0.00 μB per cell


*B*
First-principles (PBE) data for a relaxed Mg2BePb crystal, as listed in the Alexandria database.

Cell lengths 4.4066, 4.4066, 4.2019 Å; angles 90.00, 90.00, 90.00 degrees
Atoms (fractional coordinates):
Mg (0.0000, 0.5000, 0.0000)
Mg (0.5000, 0.0000, 0.0000)
Be (0.0000, 0.0000, 0.5000)
Pb (0.5000, 0.5000, 0.5000)

M_tot = 0.00 μB per cell


Most stable: *B*


*A*
First-principles (PBE) data for a relaxed Mg2IrCl crystal, as listed in the Alexandria database.

Cell lengths 8.1423, 8.1423, 8.1423 Å; angles 22.80, 22.80, 22.80 degrees
Atoms (fractional coordinates):
Mg (0.2462, 0.2462, 0.2462)
Mg (0.7538, 0.7538, 0.7538)
Ir (0.5000, 0.5000, 0.5000)
Cl (0.0000, 0.0000, 0.0000)

M_tot = 0.00 μB per cell


*B*
First-principles (PBE) data for a relaxed Mg2IrCl crystal, as listed in the Alexandria database.

Cell lengths 3.0509, 4.4886, 5.4069 Å; angles 90.00, 90.00, 90.00 degrees
Atoms (fractional coordinates):
Mg (0.0000, 0.0000, 0.0000)
Mg (0.5000, 0.5000, 0.4802)
Ir (0.5000, 0.5000, 0.9829)
Cl (0.0000, 0.0000, 0.4932)

M_tot = 0.00 μB per cell


Most stable: *A*


*A*
First-principles (PBE) data for a relaxed TlRu2Pt crystal, as listed in the Alexandria database.

Cell lengths 4.9007, 4.9007, 4.9007 Å; angles 131.41, 131.41, 71.16 degrees
Atoms (fractional coordinates):
Tl (0.0000, 0.0000, 0.0000)
Ru (0.5000, 0.5000, 0.0000)
Ru (0.7500, 0.2500, 0.5000)
Pt (0.2500, 0.7500, 0.5000)

M_tot = 0.00 μB per cell


*B*
First-principles (PBE) data for a relaxed TlRu2Pt crystal, as listed in the Alexandria database.

Cell lengths 4.5223, 4.5223, 4.5223 Å; angles 60.00, 60.00, 60.00 degrees
Atoms (fractional coordinates):
Tl (0.0000, 0.0000, 0.0000)
Ru (0.2500, 0.2500, 0.2500)
Ru (0.7500, 0.7500, 0.7500)
Pt (0.5000, 0.5000, 0.5000)

M_tot = 0.00 μB per cell


Most stable: *A*


*A*
First-principles (PBE) data for a relaxed B2C crystal, as listed in the Alexandria database.

Cell lengths 4.6687, 4.6687, 7.9346 Å; angles 116.96, 116.96, 33.99 degrees
Atoms (fractional coordinates):
B (0.0468, 0.0468, 0.1221)
B (0.2009, 0.2009, 0.0286)
B (0.2539, 0.2539, 0.5922)
B (0.4113, 0.4113, 0.2746)
B (0.5887, 0.5887, 0.7254)
B (0.7461, 0.7461, 0.4078)
B (0.7991, 0.7991, 0.9714)
B (0.9532, 0.9532, 0.8779)
C (0.0796, 0.0796, 0.5892)
C (0.4290, 0.4290, 0.7616)
C (0.5710, 0.5710, 0.2384)
C (0.9204, 0.9204, 0.4108)

M_tot = 0.00 μB per cell


*B*
First-principles (PBE) data for a relaxed B2C crystal, as listed in the Alexandria database.

Cell lengths 2.6955, 2.6955, 15.3616 Å; angles 90.00, 90.00, 120.00 degrees
Atoms (fractional coordinates):
B (0.0000, 0.0000, 0.0000)
B (0.0000, 0.0000, 0.1086)
B (0.0000, 0.0000, 0.5583)
B (0.3333, 0.6667, 0.1328)
B (0.3333, 0.6667, 0.3843)
B (0.3333, 0.6667, 0.8028)
B (0.6667, 0.3333, 0.4941)
B (0.6667, 0.3333, 0.9334)
C (0.0000, 0.0000, 0.6611)
C (0.3333, 0.6667, 0.6897)
C (0.6667, 0.3333, 0.3922)
C (0.6667, 0.3333, 0.8334)

M_tot = 0.00 μB per cell


Most stable: *A*